First-principles (PBE) data for a geometry-optimized CaScW structure, as listed in the Alexandria database.

extended XYZ file:
```
12
Lattice="3.7939 0.0000 0.0000 0.0000 4.6170 0.0000 0.0000 0.0000 15.5361" Properties=species:S:1:pos:R:3 pbc="T T T"
Ca 0.0000 0.0000 0.0000
Ca 0.0000 2.3085 7.7681
Ca 1.8969 0.0000 7.7681
Ca 1.8969 2.3085 0.0000
Sc 0.0000 0.0000 10.9436
Sc 0.0000 2.3085 3.1755
Sc 1.8969 0.0000 3.1755
Sc 1.8969 2.3085 10.9436
W 0.0000 0.0000 5.2610
W 0.0000 2.3085 13.0291
W 1.8969 0.0000 13.0291
W 1.8969 2.3085 5.2610
```

* formation enthalpy at 0 K: 0.56 eV/atom
* magnetization: 0.00 μB/f.u.
* N(E_F): 3.874 states/eV/f.u.